[1]
The following is a PBE-GGA calculation of an optimized crystal structure of TmTaIr, from OQMD.

It has space group F-43m (No. 216), with a = 6.3767 Å, b = 6.3767 Å, c = 6.3767 Å, α = 90.00°, β = 90.00° and γ = 90.00°. The distinct sites, in fractional coordinates, are Tm at (0.0000, 0.0000, 0.0000), Ta at (0.2500, 0.2500, 0.2500) and Ir at (0.2500, 0.2500, 0.7500).

The formation energy comes out at 0.999 eV per atom. The value obtained for the volume is 259 Å³/cell. As for the calculated total energy: -7.395 eV/atom. The value obtained for the energy relative to the lowest polymorph listed for this composition is 1238 meV/atom. For the total moment, the calculation gives 0.241 μB/f.u.

[2]
The following is a PBE-GGA calculation of an optimized crystal structure of TmTaIr, from OQMD.

It has space group F-43m (No. 216), with a = 6.4262 Å, b = 6.4262 Å, c = 6.4262 Å, α = 90.00°, β = 90.00° and γ = 90.00°. The distinct sites, in fractional coordinates, are Tm at (0.0000, 0.0000, 0.0000), Ta at (0.0000, 0.0000, 0.5000) and Ir at (0.2500, 0.2500, 0.2500).

The formation energy comes out at -0.238 eV per atom. The value obtained for the volume is 265 Å³/cell. As for the calculated total energy: -8.633 eV/atom. The value obtained for the energy relative to the lowest polymorph listed for this composition is 0 meV/atom. For the total moment, the calculation gives 0.014 μB/f.u.

[3]
The following is a PBE-GGA calculation of an optimized crystal structure of TaIr6W, from OQMD.

It has space group P-6m2 (No. 187), with a = 5.5646 Å, b = 5.5646 Å, c = 4.4489 Å, α = 90.00°, β = 90.00° and γ = 120.00°. The distinct sites, in fractional coordinates, are Ta at (0.0000, 0.0000, 0.0000), Ir at (0.0001, 0.5001, 0.0000), Ir at (0.1697, 0.3393, 0.5000) and W at (0.6667, 0.3333, 0.5000).

The formation energy comes out at -0.522 eV per atom. The value obtained for the volume is 119 Å³/cell. As for the calculated total energy: -10.265 eV/atom. For the total moment, the calculation gives 0.000 μB/f.u.

[4]
The following is a PBE-GGA calculation of an optimized crystal structure of YTa2Ir2, from OQMD.

It has space group I4/mmm (No. 139), with a = 4.4224 Å, b = 4.4224 Å, c = 10.5629 Å, α = 90.00°, β = 90.00° and γ = 90.00°. The distinct sites, in fractional coordinates, are Y at (0.0000, 0.0000, 0.0000), Ta at (0.0000, 0.5000, 0.2500) and Ir at (0.0000, 0.0000, 0.3762).

The formation energy comes out at -0.630 eV per atom. The value obtained for the volume is 207 Å³/cell. As for the calculated total energy: -10.206 eV/atom. For the total moment, the calculation gives 0.002 μB/f.u.

[5]
The following is a PBE-GGA calculation of an optimized crystal structure of YTa4Ir3, from OQMD.

It has space group I-42m (No. 121), with a = 4.0071 Å, b = 4.0071 Å, c = 19.2847 Å, α = 90.00°, β = 90.00° and γ = 90.00°. The distinct sites, in fractional coordinates, are Y at (0.0000, 0.0000, 0.0000), Ta at (0.2465, 0.2465, 0.3640), Ir at (0.0000, 0.0000, 0.5000) and Ir at (0.0000, 0.5000, 0.2500).

The formation energy comes out at 0.283 eV per atom. The value obtained for the volume is 310 Å³/cell. As for the calculated total energy: -9.772 eV/atom. For the total moment, the calculation gives 0.016 μB/f.u.

[6]
The following is a PBE-GGA calculation of an optimized crystal structure of Ta2ZnIr, from OQMD.

It has space group F-43m (No. 216), with a = 6.3788 Å, b = 6.3788 Å, c = 6.3788 Å, α = 90.00°, β = 90.00° and γ = 90.00°. The distinct sites, in fractional coordinates, are Ta at (0.0000, 0.0000, 0.0000), Ta at (0.2500, 0.2500, 0.2500), Zn at (0.0000, 0.0000, 0.5000) and Ir at (0.2500, 0.2500, 0.7500).

The formation energy comes out at -0.015 eV per atom. The value obtained for the volume is 260 Å³/cell. As for the calculated total energy: -8.471 eV/atom. For the total moment, the calculation gives 0.019 μB/f.u.

[7]
The following is a PBE-GGA calculation of an optimized crystal structure of ZrTaIr2, from OQMD.

It has space group F-43m (No. 216), with a = 6.4564 Å, b = 6.4564 Å, c = 6.4564 Å, α = 90.00°, β = 90.00° and γ = 90.00°. The distinct sites, in fractional coordinates, are Zr at (0.0000, 0.0000, 0.0000), Ta at (0.2500, 0.2500, 0.7500), Ir at (0.0000, 0.0000, 0.5000) and Ir at (0.2500, 0.2500, 0.2500).

The formation energy comes out at -0.301 eV per atom. The value obtained for the volume is 269 Å³/cell. As for the calculated total energy: -9.828 eV/atom. For the total moment, the calculation gives 0.002 μB/f.u.

[8]
The following is a PBE-GGA calculation of an optimized crystal structure of Tb2Ir, from OQMD.

It has space group Fd-3m (No. 227, origin choice 2), with a = 8.1866 Å, b = 8.1866 Å, c = 8.1866 Å, α = 90.00°, β = 90.00° and γ = 90.00°. The distinct sites, in fractional coordinates, are Tb at (0.0000, 0.0000, 0.0000) and Ir at (0.1250, 0.1250, 0.6250).

The formation energy comes out at 0.688 eV per atom. The value obtained for the volume is 549 Å³/cell. As for the calculated total energy: -5.350 eV/atom. For the total moment, the calculation gives 0.004 μB/f.u.

[9]
The following is a PBE-GGA calculation of an optimized crystal structure of Tb2Ir, from OQMD.

It has space group P-62m (No. 189), with a = 7.6870 Å, b = 7.6870 Å, c = 4.2140 Å, α = 90.00°, β = 90.00° and γ = 120.00°. The distinct sites, in fractional coordinates, are Tb at (0.0000, 0.4148, 0.0000), Tb at (0.0000, 0.7440, 0.5000), Ir at (0.0000, 0.0000, 0.0000) and Ir at (0.3333, 0.6667, 0.5000).

The formation energy comes out at -0.634 eV per atom. The value obtained for the volume is 216 Å³/cell. As for the calculated total energy: -6.672 eV/atom. For the total moment, the calculation gives 0.014 μB/f.u.

[10]
The following is a PBE-GGA calculation of an optimized crystal structure of TbIr2, from OQMD.

It has space group Fd-3m (No. 227, origin choice 2), with a = 7.5579 Å, b = 7.5579 Å, c = 7.5579 Å, α = 90.00°, β = 90.00° and γ = 90.00°. The distinct sites, in fractional coordinates, are Tb at (0.1250, 0.1250, 0.1250) and Ir at (0.0000, 0.0000, 0.5000).

The formation energy comes out at -0.805 eV per atom. The value obtained for the volume is 432 Å³/cell. As for the calculated total energy: -8.251 eV/atom. For the total moment, the calculation gives 0.000 μB/f.u.

[11]
The following is a PBE-GGA calculation of an optimized crystal structure of Tb3Ir, from OQMD.

It has space group Pnma (No. 62), with a = 7.2250 Å, b = 9.3877 Å, c = 6.3627 Å, α = 90.00°, β = 90.00° and γ = 90.00°. The distinct sites, in fractional coordinates, are Tb at (0.0343, 0.2500, 0.1349), Tb at (0.1769, 0.0632, 0.6723) and Ir at (0.1177, 0.7500, 0.4484).

The formation energy comes out at -0.566 eV per atom. The value obtained for the volume is 432 Å³/cell. As for the calculated total energy: -6.252 eV/atom. For the total moment, the calculation gives 0.001 μB/f.u.

[12]
The following is a PBE-GGA calculation of an optimized crystal structure of Tb6TcIr, from OQMD.

It has space group R-3 (No. 148, hexagonal axes), with a = 6.5603 Å, b = 6.5603 Å, c = 19.5836 Å, α = 90.00°, β = 90.00° and γ = 120.00°. The distinct sites, in fractional coordinates, are Tb at (0.0022, 0.3284, 0.2518), Tc at (0.0000, 0.0000, 0.0000) and Ir at (0.0000, 0.0000, 0.5000).

The formation energy comes out at -0.196 eV per atom. The value obtained for the volume is 730 Å³/cell. As for the calculated total energy: -6.070 eV/atom. For the total moment, the calculation gives 0.021 μB/f.u.